(1)
First-principles (GGA-PBE) data for a relaxed Cs2Sr2In crystal, as listed in Alexandria.

Geometry as POSCAR:
```
Cs2Sr2In
1.0
9.047 0.000 0.000
0.000 9.047 0.000
0.000 0.000 7.792
Cs Sr In
4 4 2
Cartesian
1.659 2.864 0.000
2.864 7.388 0.000
6.183 1.659 0.000
7.388 6.183 0.000
1.517 6.040 3.896
3.007 1.517 3.896
6.040 7.531 3.896
7.531 3.007 3.896
0.000 0.000 3.896
4.524 4.524 3.896
```

Calculated values
Calculated formation energy   7 kJ/mol of atoms
Mass density   2.89 g/cm³
Total energy   -1.49 eV per atom
Magnetic moment   0.0 μB per formula unit

***

(2)
First-principles (GGA-PBE) data for a relaxed Li6H2NCl crystal, as listed in Alexandria.

Geometry as POSCAR:
```
Li6H2NCl
1.0
5.654 0.000 0.000
0.000 5.466 0.000
-5.503 0.000 7.885
Li H N Cl
12 4 2 2
Cartesian
-0.578 1.162 1.004
-3.329 1.570 4.946
-0.975 0.638 3.728
-3.726 2.095 7.671
0.764 3.590 1.598
-1.988 4.608 5.540
2.139 0.858 2.344
-0.613 1.875 6.287
3.877 3.371 0.214
1.126 4.828 4.157
3.480 3.895 2.939
0.728 4.303 6.881
-2.531 2.754 6.244
0.220 5.444 2.301
-0.070 0.021 5.583
2.682 2.712 1.641
-2.751 0.000 3.942
0.000 2.733 0.000
2.827 0.000 0.000
0.075 2.733 3.942
```

Calculated values
Mass density   1.27 g/cm³
Total energy   -3.45 eV per atom
Magnetic moment   0.0 μB per formula unit

***

(3)
First-principles (GGA-PBE) data for a relaxed Sb2PbAu crystal, as listed in Alexandria.

Geometry as POSCAR:
```
Sb2PbAu
1.0
-1.843 2.723 5.263
1.843 -2.723 5.263
1.843 2.723 -5.263
Sb Pb Au
2 1 1
Cartesian
0.000 0.000 0.000
0.000 2.723 2.670
0.000 0.000 4.740
1.843 0.000 2.233
```

Calculated values
Mass density   10.18 g/cm³
Total energy   -3.68 eV per atom
Magnetic moment   0.0 μB per formula unit
Energy relative to the elements, uncorrected   0.13 eV per atom

***

(4)
First-principles (GGA-PBE) data for a relaxed Hg6Bi2Pb crystal, as listed in Alexandria.

Geometry as POSCAR:
```
Hg6Bi2Pb
1.0
5.119 -4.398 0.000
5.119 4.398 0.000
-1.935 0.000 5.631
Hg Bi Pb
6 2 1
Cartesian
2.754 1.511 1.875
5.119 2.901 0.000
5.550 1.511 3.756
2.754 -1.511 1.875
5.119 -2.901 0.000
5.550 -1.511 3.756
1.833 0.000 4.730
6.471 0.000 0.901
-0.967 0.000 2.816
```

Calculated values
Calculated formation energy   8 kJ/mol of atoms
Mass density   11.98 g/cm³
Total energy   -1.39 eV per atom
Magnetic moment   0.0 μB per formula unit

***

(5)
First-principles (GGA-PBE) data for a relaxed Sr2LiZnPd2 crystal, as listed in Alexandria.

Geometry as POSCAR:
```
Sr2LiZnPd2
1.0
-3.063 7.456 3.130
3.063 -7.456 3.130
3.063 7.456 -3.130
Sr Li Zn Pd
4 2 2 4
Cartesian
1.523 2.477 0.000
1.523 -2.477 3.130
1.540 9.933 0.000
1.540 4.980 3.130
3.063 0.000 1.565
0.000 7.456 1.565
0.000 0.000 1.565
0.000 0.000 4.695
4.646 1.557 0.000
1.584 5.899 0.000
1.479 1.557 3.130
-1.584 5.899 3.130
```

Calculated values
Calculated formation energy   -49 kJ/mol of atoms
Mass density   5.35 g/cm³
Total energy   -3.33 eV per atom
Magnetic moment   0.0 μB per formula unit

***

(6)
First-principles (GGA-PBE) data for a relaxed TbCeIrPd crystal, as listed in Alexandria.

Geometry as POSCAR:
```
TbCeIrPd
1.0
4.165 0.000 0.000
0.000 1.915 5.639
0.000 -1.915 5.639
Tb Ce Ir Pd
1 1 1 1
Cartesian
0.000 0.000 0.000
2.082 0.000 8.163
0.000 0.000 2.925
2.082 0.000 4.998
```

Calculated values
Calculated formation energy   -81 kJ/mol of atoms
Mass density   11.04 g/cm³
Total energy   -7.00 eV per atom
Magnetic moment   0.0 μB per formula unit
ΔE to the lowest computed polymorph   0 meV/atom

***

(7)
First-principles (GGA-PBE) data for a relaxed La5NdTe8 crystal, as listed in Alexandria.

Geometry as POSCAR:
```
La5NdTe8
1.0
-4.834 4.834 4.824
4.834 -4.834 4.824
4.834 4.834 -4.824
La Nd Te
5 1 8
Cartesian
0.000 0.000 0.000
3.599 2.414 -1.204
2.420 -1.234 6.027
1.234 2.420 3.620
2.414 6.068 1.204
4.834 0.000 2.412
6.507 0.737 -0.463
1.695 -0.715 2.881
3.138 5.549 -1.943
0.737 3.160 0.463
4.118 3.138 1.943
4.097 1.673 5.287
-1.673 4.097 4.361
0.715 1.695 6.766
```

Calculated values
Mass density   6.85 g/cm³
Total energy   -5.47 eV per atom
Magnetic moment   0.0 μB per formula unit
Energy relative to the elements, uncorrected   -1.58 eV per atom

***

(8)
First-principles (GGA-PBE) data for a relaxed TbTmNi2Ge2 crystal, as listed in Alexandria.

Geometry as POSCAR:
```
TbTmNi2Ge2
1.0
4.213 0.000 0.000
-2.106 3.648 0.000
0.000 0.000 7.061
Tb Tm Ni Ge
1 1 2 2
Cartesian
0.000 0.000 0.000
0.000 0.000 3.530
0.000 2.432 5.134
2.106 1.216 1.926
0.000 2.432 1.850
2.106 1.216 5.211
```

Calculated values
Calculated formation energy   -74 kJ/mol of atoms
Mass density   9.04 g/cm³
Total energy   -5.75 eV per atom
Magnetic moment   0.0 μB per formula unit

***

(9)
First-principles (GGA-PBE) data for a relaxed Ce12Ge6Os crystal, as listed in Alexandria.

Geometry as POSCAR:
```
Ce12Ge6Os
1.0
5.809 3.354 4.105
-5.809 3.354 4.105
0.000 -6.707 4.105
Ce Ge Os
12 6 1
Cartesian
-5.208 -1.216 6.643
-1.551 -5.119 5.671
-1.502 -1.523 4.442
-3.657 3.903 5.671
-0.567 2.062 4.442
-2.070 0.540 7.872
2.070 -0.540 4.442
0.567 -2.062 7.872
3.657 -3.903 6.643
1.502 1.523 7.872
1.551 5.119 6.643
5.208 1.216 5.671
-3.409 0.884 5.210
-2.470 -2.511 7.104
0.939 -3.395 5.210
-0.939 3.395 7.104
2.470 2.511 5.210
3.409 -0.884 7.104
0.000 0.000 6.157
```

Calculated values
Calculated formation energy   -40 kJ/mol of atoms
Mass density   7.99 g/cm³
Total energy   -6.21 eV per atom
Magnetic moment   8.3 μB per formula unit

***

(10)
First-principles (GGA-PBE) data for a relaxed PrDy2Er3Se6 crystal, as listed in Alexandria.

Geometry as POSCAR:
```
PrDy2Er3Se6
1.0
3.519 -6.125 0.000
3.519 6.125 0.000
-2.352 0.000 6.724
Pr Dy Er Se
1 2 3 6
Cartesian
0.000 0.000 0.000
3.519 2.023 0.000
3.519 -2.023 0.000
2.343 4.177 3.362
2.343 0.000 3.362
2.343 -4.177 3.362
1.209 2.114 1.755
0.070 0.000 5.006
1.209 -2.114 1.755
3.477 2.114 4.969
4.616 0.000 1.718
3.477 -2.114 4.969
```

Calculated values
Mass density   8.26 g/cm³
Total energy   -5.79 eV per atom
Magnetic moment   0.0 μB per formula unit
Energy relative to the elements, uncorrected   -1.74 eV per atom

***

(11)
First-principles (GGA-PBE) data for a relaxed LiInBr2 crystal, as listed in Alexandria.

Geometry as POSCAR:
```
LiInBr2
1.0
2.006 1.158 8.718
-2.006 1.158 8.718
0.000 -2.317 8.718
Li In Br
1 1 2
Cartesian
0.000 0.000 0.000
0.000 0.000 13.077
0.000 0.000 10.192
0.000 0.000 15.962
```

Calculated values
Mass density   3.85 g/cm³
Total energy   -2.87 eV per atom
Magnetic moment   0.0 μB per formula unit
ΔE to the lowest computed polymorph   194 meV/atom
Energy relative to the elements, uncorrected   -0.87 eV per atom

***

(12)
First-principles (GGA-PBE) data for a relaxed ZrNi2Au2 crystal, as listed in Alexandria.

Geometry as POSCAR:
```
ZrNi2Au2
1.0
6.664 0.000 0.000
0.000 6.664 0.000
0.000 0.000 3.612
Zr Ni Au
2 4 4
Cartesian
0.000 0.000 0.000
3.332 3.332 0.000
0.841 2.491 0.000
2.491 5.823 0.000
4.173 0.841 0.000
5.823 4.173 0.000
1.131 4.463 1.806
2.202 1.131 1.806
4.463 5.534 1.806
5.534 2.202 1.806
```

Calculated values
Calculated formation energy   -22 kJ/mol of atoms
Mass density   12.47 g/cm³
Total energy   -5.57 eV per atom
Magnetic moment   0.0 μB per formula unit
ΔE to the lowest computed polymorph   0 meV/atom

***

(13)
First-principles (GGA-PBE) data for a relaxed Nd6C2NO2 crystal, as listed in Alexandria.

Geometry as POSCAR:
```
Nd6C2NO2
1.0
3.214 -5.522 0.000
3.214 5.522 0.000
-2.192 0.000 5.988
Nd C N O
6 2 1 2
Cartesian
-0.083 1.916 4.455
0.921 0.000 1.612
-0.083 -1.916 4.455
4.320 1.916 1.533
3.315 0.000 4.377
4.320 -1.916 1.533
2.118 1.873 2.994
2.118 -1.873 2.994
-1.096 0.000 2.994
3.214 3.668 0.000
3.214 -3.668 0.000
```

Calculated values
Mass density   7.31 g/cm³
Total energy   -7.28 eV per atom
Magnetic moment   0.9 μB per formula unit
Energy relative to the elements, uncorrected   -1.34 eV per atom

***

(14)
First-principles (GGA-PBE) data for a relaxed Pu6ReGe5 crystal, as listed in Alexandria.

Geometry as POSCAR:
```
Pu6ReGe5
1.0
-2.232 4.171 6.700
2.232 -4.171 6.700
2.232 4.171 -6.700
Pu Re Ge
6 1 5
Cartesian
2.232 2.046 -2.194
0.000 2.035 0.000
2.232 2.046 2.194
0.000 2.125 4.506
0.000 6.307 0.000
0.000 2.125 8.893
2.232 0.000 0.000
0.000 0.000 2.141
2.232 0.000 4.469
0.000 0.000 6.700
0.000 4.171 2.231
0.000 0.000 11.258
```

Calculated values
Calculated formation energy   -27 kJ/mol of atoms
Mass density   13.40 g/cm³
Total energy   -10.40 eV per atom
Magnetic moment   10.9 μB per formula unit

***

(15)
First-principles (GGA-PBE) data for a relaxed K2Sr2Pb crystal, as listed in Alexandria.

Geometry as POSCAR:
```
K2Sr2Pb
1.0
8.861 0.000 0.000
0.000 8.861 0.000
0.000 0.000 7.107
K Sr Pb
4 4 2
Cartesian
1.556 2.874 0.000
2.874 7.305 0.000
5.987 1.556 0.000
7.305 5.987 0.000
1.455 5.886 3.554
2.975 1.455 3.554
5.886 7.406 3.554
7.406 2.975 3.554
0.000 0.000 3.554
4.431 4.431 3.554
```

Calculated values
Calculated formation energy   -5 kJ/mol of atoms
Mass density   2.74 g/cm³
Total energy   -1.90 eV per atom
Magnetic moment   0.0 μB per formula unit

***

(16)
First-principles (GGA-PBE) data for a relaxed CoMoRu2 crystal, as listed in Alexandria.

Geometry as POSCAR:
```
CoMoRu2
1.0
4.440 -1.350 0.000
4.440 1.350 0.000
-0.808 0.000 4.549
Co Mo Ru
1 1 2
Cartesian
0.000 0.000 0.000
6.429 0.000 1.054
1.639 0.000 3.381
4.059 0.000 2.316
```

Calculated values
Calculated formation energy   12 kJ/mol of atoms
Mass density   10.87 g/cm³
Total energy   -9.00 eV per atom
Magnetic moment   0.0 μB per formula unit
ΔE to the lowest computed polymorph   117 meV/atom

***

(17)
First-principles (GGA-PBE) data for a relaxed InOsIN2 crystal, as listed in Alexandria.

Geometry as POSCAR:
```
InOsIN2
1.0
4.136 0.000 0.000
0.000 4.136 0.000
0.000 0.000 6.426
In Os I N
1 1 1 2
Cartesian
0.000 0.000 0.000
2.068 2.068 3.213
0.000 0.000 3.213
0.000 2.068 0.000
2.068 0.000 0.000
```

Calculated values
Mass density   6.95 g/cm³
Total energy   -4.11 eV per atom
Magnetic moment   5.4 μB per formula unit
ΔE to the lowest computed polymorph   1387 meV/atom
Energy relative to the elements, uncorrected   2.32 eV per atom

***

(18)
First-principles (GGA-PBE) data for a relaxed SmThC crystal, as listed in Alexandria.

Geometry as POSCAR:
```
SmThC
1.0
6.420 -1.980 0.000
6.420 1.980 0.000
-3.532 0.000 6.350
Sm Th C
2 2 2
Cartesian
0.341 0.000 1.679
8.967 0.000 4.671
3.786 0.000 1.383
5.522 0.000 4.966
-1.703 0.000 6.111
11.011 0.000 0.238
```

Calculated values
Calculated formation energy   0 kJ/mol of atoms
Mass density   8.11 g/cm³
Total energy   -7.12 eV per atom
Magnetic moment   0.0 μB per formula unit
ΔE to the lowest computed polymorph   193 meV/atom

***

(19)
First-principles (GGA-PBE) data for a relaxed LiAl7 crystal, as listed in Alexandria.

Geometry as POSCAR:
```
LiAl7
1.0
0.000 4.039 4.039
4.039 0.000 4.039
4.039 4.039 0.000
Li Al
1 7
Cartesian
0.000 0.000 0.000
2.020 2.020 0.000
2.020 0.000 2.020
4.039 2.020 2.020
0.000 2.020 2.020
2.020 4.039 2.020
2.020 2.020 4.039
4.039 4.039 4.039
```

Calculated values
Calculated formation energy   -6 kJ/mol of atoms
Mass density   2.47 g/cm³
Total energy   -3.58 eV per atom
Magnetic moment   0.0 μB per formula unit

***

(20)
First-principles (GGA-PBE) data for a relaxed RbZrFeBi2 crystal, as listed in Alexandria.

Geometry as POSCAR:
```
RbZrFeBi2
1.0
5.654 0.000 0.000
0.000 5.654 0.000
0.000 0.000 6.929
Rb Zr Fe Bi
1 1 1 2
Cartesian
0.000 0.000 0.000
0.000 0.000 3.464
2.827 2.827 0.000
0.000 2.827 3.464
2.827 0.000 3.464
```

Calculated values
Calculated formation energy   99 kJ/mol of atoms
Mass density   4.88 g/cm³
Total energy   -4.12 eV per atom
Magnetic moment   4.6 μB per formula unit